Record 1
A plane-wave DFT calculation with PBE-GGA was carried out for GdDyMg2 after structural relaxation.

a = 7.616 Å, b = 7.616 Å, c = 7.616 Å
α = 90.00°, β = 90.00°, γ = 90.00°
Fractional positions:
Gd 0.000 0.000 0.000
Gd 0.000 0.500 0.500
Gd 0.500 0.000 0.500
Gd 0.500 0.500 0.000
Dy 0.000 0.000 0.500
Dy 0.000 0.500 0.000
Dy 0.500 0.000 0.000
Dy 0.500 0.500 0.500
Mg 0.250 0.250 0.250
Mg 0.250 0.250 0.750
Mg 0.250 0.750 0.250
Mg 0.250 0.750 0.750
Mg 0.750 0.250 0.250
Mg 0.750 0.250 0.750
Mg 0.750 0.750 0.250
Mg 0.750 0.750 0.750

Calculated values
Space-group type: Fm-3m (225)
Excess energy over the best structure of this formula in the dataset, meV/atom: 5
Total magnetization, μB/cell: 31.34
Density of states at the Fermi level, states/eV per atom: 0.9731
Electronic total energy, eV/atom: -5.56

Record 2
A plane-wave DFT calculation with PBE-GGA was carried out for GdDy2Mg after structural relaxation.

a = 3.437 Å, b = 3.437 Å, c = 36.773 Å
α = 90.00°, β = 90.00°, γ = 120.00°
Fractional positions:
Gd 0.000 0.000 0.000
Gd 0.333 0.667 0.667
Gd 0.667 0.333 0.333
Dy 0.000 0.000 0.411
Dy 0.000 0.000 0.589
Dy 0.333 0.667 0.078
Dy 0.333 0.667 0.256
Dy 0.667 0.333 0.744
Dy 0.667 0.333 0.922
Mg 0.000 0.000 0.500
Mg 0.333 0.667 0.167
Mg 0.667 0.333 0.833

Calculated values
Space-group type: R-3m (166)
Excess energy over the best structure of this formula in the dataset, meV/atom: 226
Total magnetization, μB/cell: 21.16
Density of states at the Fermi level, states/eV per atom: 1.0532
Electronic total energy, eV/atom: -6.02

Record 3
A plane-wave DFT calculation with PBE-GGA was carried out for GdDyMg after structural relaxation.

a = 5.456 Å, b = 5.456 Å, c = 3.379 Å
α = 90.00°, β = 90.00°, γ = 120.00°
Fractional positions:
Gd 0.000 0.000 0.000
Dy 0.333 0.667 0.418
Mg 0.667 0.333 0.705

Calculated values
Space-group type: P3m1 (156)
Excess energy over the best structure of this formula in the dataset, meV/atom: 88
Total magnetization, μB/cell: 7.37
Density of states at the Fermi level, states/eV per atom: 1.2748
Electronic total energy, eV/atom: -6.72

Record 4
A plane-wave DFT calculation with PBE-GGA was carried out for GdDy2Mg after structural relaxation.

a = 7.781 Å, b = 7.781 Å, c = 7.781 Å
α = 90.00°, β = 90.00°, γ = 90.00°
Fractional positions:
Gd 0.000 0.000 0.000
Gd 0.000 0.500 0.500
Gd 0.500 0.000 0.500
Gd 0.500 0.500 0.000
Dy 0.250 0.250 0.250
Dy 0.250 0.250 0.750
Dy 0.250 0.750 0.250
Dy 0.250 0.750 0.750
Dy 0.750 0.250 0.250
Dy 0.750 0.250 0.750
Dy 0.750 0.750 0.250
Dy 0.750 0.750 0.750
Mg 0.000 0.000 0.500
Mg 0.000 0.500 0.000
Mg 0.500 0.000 0.000
Mg 0.500 0.500 0.500

Calculated values
Space-group type: Fm-3m (225)
Excess energy over the best structure of this formula in the dataset, meV/atom: 80
Total magnetization, μB/cell: 30.27
Density of states at the Fermi level, states/eV per atom: 1.4478
Electronic total energy, eV/atom: -6.16

Record 5
A plane-wave DFT calculation with PBE-GGA was carried out for Gd2DyMg after structural relaxation.

a = 3.586 Å, b = 3.586 Å, c = 9.372 Å
α = 90.00°, β = 90.00°, γ = 90.00°
Fractional positions:
Gd 0.000 0.000 0.236
Gd 0.000 0.000 0.764
Dy 0.500 0.500 0.500
Mg 0.500 0.500 0.000

Calculated values
Space-group type: P4/mmm (123)
Excess energy over the best structure of this formula in the dataset, meV/atom: 0
Total magnetization, μB/cell: 14.84
Density of states at the Fermi level, states/eV per atom: 1.4646
Electronic total energy, eV/atom: -8.62

Record 6
A plane-wave DFT calculation with PBE-GGA was carried out for GdDy2Mg after structural relaxation.

a = 3.609 Å, b = 3.609 Å, c = 9.112 Å
α = 90.00°, β = 90.00°, γ = 90.00°
Fractional positions:
Gd 0.000 0.000 0.000
Dy 0.500 0.500 0.268
Dy 0.500 0.500 0.732
Mg 0.000 0.000 0.500

Calculated values
Space-group type: P4/mmm (123)
Excess energy over the best structure of this formula in the dataset, meV/atom: 0
Total magnetization, μB/cell: 7.22
Density of states at the Fermi level, states/eV per atom: 1.3172
Electronic total energy, eV/atom: -6.24

Q: excess energy over the best structure of this formula in the dataset of number 1 (GdDyMg2)?
A: 5 meV/atom

Q: Which formula does entry 5 have?
A: Gd2DyMg

Q: The highest density of states at the Fermi level belongs to which entry?
A: Gd2DyMg

Q: Number 4 is which compound?
A: GdDy2Mg